# PBE CrPbCl2, relaxed
# Density of states at the Fermi level = 1.72 states/eV/f.u.
# Raw formation energy = -501.5 meV per atom
# Total magnetization = 4.079 μB per cell
# Polymorph energy (0 for the lowest one) = 27 meV per atom
# Total energy = -4.7578 eV/atom
# Space group = Cmmm
data_CrPbCl2
_chemical_formula_sum 'Cr1 Pb1 Cl2'
_cell_length_a 3.577
_cell_length_b 3.577
_cell_length_c 10.777
_cell_angle_alpha 90.00
_cell_angle_beta 90.00
_cell_angle_gamma 123.13
_symmetry_space_group_name_H-M 'P 1'
_symmetry_Int_Tables_number 1
loop_
_symmetry_equiv_pos_as_xyz
'x,y,z'
loop_
_atom_site_label
_atom_site_type_symbol
_atom_site_fract_x
_atom_site_fract_y
_atom_site_fract_z
Pb1 Pb 0.500 0.500 0.750
Cl1 Cl 0.000 0.000 0.402
Cl2 Cl 0.000 0.000 0.098
Cr1 Cr 0.500 0.500 0.250

# PBE Na4Pu3CrS8, relaxed
# Density of states at the Fermi level = 23.78 states/eV/f.u.
# Raw formation energy = -1362.1 meV per atom
# Total magnetization = 18.000 μB per cell
# Total energy = -7.0443 eV/atom
# Space group = R-3m
data_Na4Pu3CrS8
_chemical_formula_sum 'Na4 Pu3 Cr1 S8'
_cell_length_a 7.866
_cell_length_b 8.027
_cell_length_c 7.866
_cell_angle_alpha 119.34
_cell_angle_beta 120.00
_cell_angle_gamma 90.00
_symmetry_space_group_name_H-M 'P 1'
_symmetry_Int_Tables_number 1
loop_
_symmetry_equiv_pos_as_xyz
'x,y,z'
loop_
_atom_site_label
_atom_site_type_symbol
_atom_site_fract_x
_atom_site_fract_y
_atom_site_fract_z
Na1 Na 0.500 0.000 0.000
S1 S 0.229 0.717 0.988
Na2 Na 0.000 0.000 0.500
Na3 Na 0.500 0.000 0.500
S2 S 0.229 0.717 0.459
S3 S 0.257 0.271 0.514
Pu1 Pu 0.000 0.500 0.500
S4 S 0.758 0.717 0.988
Pu2 Pu 0.500 0.500 0.500
S5 S 0.743 0.729 0.486
Pu3 Pu 0.500 0.500 0.000
S6 S 0.771 0.283 0.012
S7 S 0.771 0.283 0.541
Cr1 Cr 0.000 0.500 0.000
S8 S 0.242 0.283 0.012
Na4 Na 0.000 0.000 0.000

# PBE Pa4GeAs2P, relaxed
# ΔE_f = -0.9737 eV per atom
# Density of states at the Fermi level = 8.71 states/eV/f.u.
# Total magnetization = 0.000 μB per cell
# Total energy = -8.1375 eV/atom
# Space group = P2/m
data_Pa4GeAs2P
_chemical_formula_sum 'Pa4 Ge1 As2 P1'
_cell_length_a 4.071
_cell_length_b 7.055
_cell_length_c 7.061
_cell_angle_alpha 70.57
_cell_angle_beta 90.00
_cell_angle_gamma 90.00
_symmetry_space_group_name_H-M 'P 1'
_symmetry_Int_Tables_number 1
loop_
_symmetry_equiv_pos_as_xyz
'x,y,z'
loop_
_atom_site_label
_atom_site_type_symbol
_atom_site_fract_x
_atom_site_fract_y
_atom_site_fract_z
Pa1 Pa 0.500 0.255 0.755
P1 P 0.500 0.500 0.000
Pa2 Pa 0.500 0.745 0.245
As1 As 0.000 0.000 0.000
Pa3 Pa 0.000 0.741 0.759
Ge1 Ge 0.000 0.500 0.500
As2 As 0.500 0.000 0.500
Pa4 Pa 0.000 0.259 0.241

# PBE Si2SnPd8, relaxed
# Density of states at the Fermi level = 5.30 states/eV/f.u.
# Raw formation energy = -520.7 meV per atom
# Total magnetization = 0.000 μB per cell
# Polymorph energy (0 for the lowest one) = 43 meV per atom
# Total energy = -5.6472 eV/atom
# Space group = Immm
data_Si2SnPd8
_chemical_formula_sum 'Si2 Sn1 Pd8'
_cell_length_a 3.906
_cell_length_b 7.101
_cell_length_c 7.387
_cell_angle_alpha 118.73
_cell_angle_beta 105.33
_cell_angle_gamma 90.00
_symmetry_space_group_name_H-M 'P 1'
_symmetry_Int_Tables_number 1
loop_
_symmetry_equiv_pos_as_xyz
'x,y,z'
loop_
_atom_site_label
_atom_site_type_symbol
_atom_site_fract_x
_atom_site_fract_y
_atom_site_fract_z
Si1 Si 0.177 0.677 0.353
Pd1 Pd 0.333 0.121 0.667
Pd2 Pd 0.667 0.879 0.333
Pd3 Pd 0.667 0.455 0.333
Si2 Si 0.823 0.323 0.647
Pd4 Pd 0.000 0.308 0.000
Sn1 Sn 0.500 0.000 0.000
Pd5 Pd 0.851 0.851 0.703
Pd6 Pd 0.333 0.545 0.667
Pd7 Pd 0.000 0.692 0.000
Pd8 Pd 0.149 0.149 0.297